1.
A plane-wave DFT calculation with GGA-PBE was carried out for BaSb2IrN after structural relaxation.

- Formation energy without anion corrections: 0.70 eV/f.u.
- N(E_F): 0.26 states/eV per atom
- Total energy: -26.653 eV for the cell shown
- Magnetization: 0.0 μB per formula unit
- Crystal system: tetragonal
- Space-group type: P4/mmm, No. 123

Cell lengths 5.739, 3.747, 5.739 Å; angles 90.00, 90.00, 90.00 degrees
Element x y z (fractional)
1 Sb 0.000 0.000 0.500
2 Sb 0.500 0.000 0.000
3 Ir 0.000 0.500 0.000
4 Ba 0.500 0.500 0.500
5 N 0.000 0.000 0.000

---

2.
A plane-wave DFT calculation with GGA-PBE was carried out for BaIrSe2N after structural relaxation.

- Formation energy without anion corrections: 10.21 eV/f.u.
- N(E_F): 2.27 states/eV per atom
- Total energy: -15.866 eV for the cell shown
- Energy above the most stable polymorph in this dataset: 2.530 eV/atom
- Magnetization: 0.0 μB per formula unit
- Crystal system: tetragonal
- Space-group type: P4/mmm, No. 123

Cell lengths 5.868, 5.868, 4.206 Å; angles 90.00, 90.00, 90.00 degrees
Element x y z (fractional)
1 Ir 0.500 0.500 0.500
2 Ba 0.000 0.000 0.000
3 Se 0.000 0.500 0.000
4 Se 0.500 0.000 0.000
5 N 0.000 0.000 0.500

---

3.
A plane-wave DFT calculation with GGA-PBE was carried out for BaIrSe2N after structural relaxation.

- Formation energy without anion corrections: -2.44 eV/f.u.
- N(E_F): 0.50 states/eV per atom
- Total energy: -28.515 eV for the cell shown
- Energy above the most stable polymorph in this dataset: 0.000 eV/atom
- Magnetization: 0.0 μB per formula unit
- Crystal system: tetragonal
- Space-group type: P4/mmm, No. 123

Cell lengths 5.429, 5.429, 3.761 Å; angles 90.00, 90.00, 90.00 degrees
Element x y z (fractional)
1 Ir 0.000 0.000 0.000
2 Ba 0.500 0.500 0.500
3 Se 0.000 0.500 0.000
4 Se 0.500 0.000 0.000
5 N 0.000 0.000 0.500

---

4.
A plane-wave DFT calculation with GGA-PBE was carried out for BaSr2IrN2 after structural relaxation.

- Formation energy without anion corrections: -2.32 eV/f.u.
- N(E_F): 1.16 states/eV per atom
- Total energy: -66.232 eV for the cell shown
- Magnetization: 0.0 μB per formula unit
- Crystal system: orthorhombic
- Space-group type: Pnnm, No. 58

Cell lengths 4.168, 6.020, 11.348 Å; angles 90.00, 90.00, 90.00 degrees
Element x y z (fractional)
1 Ba 0.500 0.500 0.000
2 Ba 0.000 0.000 0.500
3 Sr 0.500 0.010 0.203
4 Sr 0.000 0.510 0.297
5 Sr 0.500 0.990 0.797
6 Sr 0.000 0.490 0.703
7 Ir 0.000 0.000 0.000
8 Ir 0.500 0.500 0.500
9 N 0.500 0.727 0.376
10 N 0.500 0.273 0.624
11 N 0.000 0.773 0.876
12 N 0.000 0.227 0.124

---

5.
A plane-wave DFT calculation with GGA-PBE was carried out for Ba2SrIrN2 after structural relaxation.

- Formation energy without anion corrections: -1.73 eV/f.u.
- N(E_F): 0.95 states/eV per atom
- Total energy: -65.545 eV for the cell shown
- Magnetization: 1.0 μB per formula unit
- Crystal system: orthorhombic
- Space-group type: Pnnm, No. 58

Cell lengths 4.206, 5.918, 12.264 Å; angles 90.00, 90.00, 90.00 degrees
Element x y z (fractional)
1 Ba 0.500 0.027 0.208
2 Ba 0.000 0.527 0.292
3 Ba 0.500 0.973 0.792
4 Ba 0.000 0.473 0.708
5 Sr 0.500 0.500 0.000
6 Sr 0.000 0.000 0.500
7 Ir 0.000 0.000 0.000
8 Ir 0.500 0.500 0.500
9 N 0.500 0.745 0.400
10 N 0.500 0.255 0.600
11 N 0.000 0.755 0.900
12 N 0.000 0.245 0.100

---

6.
A plane-wave DFT calculation with GGA-PBE was carried out for BaTi2IrN after structural relaxation.

- Formation energy without anion corrections: 3.45 eV/f.u.
- N(E_F): 1.34 states/eV per atom
- Total energy: -31.447 eV for the cell shown
- Magnetization: 3.3 μB per formula unit
- Crystal system: tetragonal
- Space-group type: P4/mmm, No. 123

Cell lengths 5.255, 3.850, 5.255 Å; angles 90.00, 90.00, 90.00 degrees
Element x y z (fractional)
1 N 0.000 0.500 0.000
2 Ir 0.000 0.000 0.000
3 Ba 0.500 0.500 0.500
4 Ti 0.000 0.000 0.500
5 Ti 0.500 0.000 0.000

---

7.
A plane-wave DFT calculation with GGA-PBE was carried out for Ba2TiIrN after structural relaxation.

- Formation energy without anion corrections: 4.50 eV/f.u.
- N(E_F): 1.98 states/eV per atom
- Total energy: -24.429 eV for the cell shown
- Magnetization: 0.0 μB per formula unit
- Crystal system: tetragonal
- Space-group type: P4/mmm, No. 123

Cell lengths 6.078, 4.628, 6.078 Å; angles 90.00, 90.00, 90.00 degrees
Element x y z (fractional)
1 N 0.500 0.500 0.500
2 Ir 0.000 0.000 0.000
3 Ba 0.000 0.000 0.500
4 Ba 0.500 0.000 0.000
5 Ti 0.000 0.500 0.000

---

8.
A plane-wave DFT calculation with GGA-PBE was carried out for BaY2IrN after structural relaxation.

- Formation energy without anion corrections: 11.80 eV/f.u.
- N(E_F): 1.01 states/eV per atom
- Total energy: -20.237 eV for the cell shown
- Energy above the most stable polymorph in this dataset: 0.746 eV/atom
- Magnetization: 1.2 μB per formula unit
- Crystal system: tetragonal
- Space-group type: P4/mmm, No. 123

Cell lengths 5.705, 4.964, 5.705 Å; angles 90.00, 90.00, 90.00 degrees
Element x y z (fractional)
1 Y 0.000 0.000 0.500
2 Y 0.500 0.000 0.000
3 Ir 0.000 0.500 0.000
4 Ba 0.000 0.000 0.000
5 N 0.500 0.500 0.500

---

9.
A plane-wave DFT calculation with GGA-PBE was carried out for BaYIr2N after structural relaxation.

- Formation energy without anion corrections: 9.52 eV/f.u.
- N(E_F): 1.22 states/eV per atom
- Total energy: -24.916 eV for the cell shown
- Magnetization: 2.2 μB per formula unit
- Crystal system: tetragonal
- Space-group type: P4/mmm, No. 123

Cell lengths 4.922, 7.140, 4.922 Å; angles 90.00, 90.00, 90.00 degrees
Element x y z (fractional)
1 Y 0.000 0.000 0.000
2 Ir 0.000 0.000 0.500
3 Ir 0.500 0.000 0.000
4 Ba 0.000 0.500 0.000
5 N 0.500 0.500 0.500

---

10.
A plane-wave DFT calculation with GGA-PBE was carried out for BaY2IrN after structural relaxation.

- Formation energy without anion corrections: 8.07 eV/f.u.
- N(E_F): 0.98 states/eV per atom
- Total energy: -23.965 eV for the cell shown
- Energy above the most stable polymorph in this dataset: 0.000 eV/atom
- Magnetization: 0.0 μB per formula unit
- Crystal system: tetragonal
- Space-group type: P4/mmm, No. 123

Cell lengths 5.717, 4.201, 5.717 Å; angles 90.00, 90.00, 90.00 degrees
Element x y z (fractional)
1 Y 0.000 0.000 0.500
2 Y 0.500 0.000 0.000
3 Ir 0.500 0.500 0.500
4 Ba 0.000 0.000 0.000
5 N 0.000 0.500 0.000

---

11.
A plane-wave DFT calculation with GGA-PBE was carried out for Ba2ZnIrN after structural relaxation.

- Formation energy without anion corrections: -2.00 eV/f.u.
- N(E_F): 0.31 states/eV per atom
- Total energy: -24.304 eV for the cell shown
- Magnetization: 0.0 μB per formula unit
- Crystal system: tetragonal
- Space-group type: P4/mmm, No. 123

Cell lengths 5.852, 5.852, 3.812 Å; angles 90.00, 90.00, 90.00 degrees
Element x y z (fractional)
1 Zn 0.500 0.500 0.500
2 Ir 0.000 0.000 0.500
3 Ba 0.000 0.500 0.000
4 Ba 0.500 0.000 0.000
5 N 0.000 0.000 0.000

---

12.
A plane-wave DFT calculation with GGA-PBE was carried out for Ba6Na3Ir after structural relaxation.

- N(E_F): 0.97 states/eV per atom
- Total energy: -50.035 eV for the cell shown
- Magnetization: 0.0 μB per formula unit
- Crystal system: orthorhombic
- Space-group type: Cmc2_1, No. 36

Cell lengths 7.519, 13.120, 12.543 Å; angles 121.53, 90.00, 90.00 degrees
Element x y z (fractional)
1 Ba 0.942 0.744 0.830
2 Ba 0.442 0.914 0.170
3 Ba 0.258 0.911 0.497
4 Ba 0.758 0.413 0.503
5 Ba 0.428 0.908 0.817
6 Ba 0.773 0.740 0.479
7 Ba 0.273 0.260 0.521
8 Ba 0.928 0.092 0.183
9 Ba 0.258 0.587 0.497
10 Ba 0.758 0.089 0.503
11 Ba 0.942 0.086 0.830
12 Ba 0.442 0.256 0.170
13 Na 0.438 0.575 0.833
14 Na 0.938 0.742 0.167
15 Na 0.421 0.579 0.158
16 Na 0.921 0.421 0.842
17 Na 0.938 0.425 0.167
18 Na 0.438 0.258 0.833
19 Ir 0.087 0.830 0.660
20 Ir 0.587 0.170 0.340

---

13.
A plane-wave DFT calculation with GGA-PBE was carried out for Ba8Na2Ir after structural relaxation.

- N(E_F): 1.04 states/eV per atom
- Total energy: -27.245 eV for the cell shown
- Magnetization: 0.0 μB per formula unit
- Crystal system: monoclinic
- Space-group type: C2/m, No. 12

Cell lengths 7.396, 8.771, 11.237 Å; angles 112.97, 108.73, 90.00 degrees
Element x y z (fractional)
1 Ba 0.825 0.311 0.127
2 Ba 0.825 0.816 0.127
3 Ba 0.175 0.689 0.873
4 Ba 0.588 0.353 0.705
5 Ba 0.175 0.184 0.873
6 Ba 0.639 0.871 0.742
7 Ba 0.361 0.129 0.258
8 Ba 0.412 0.647 0.295
9 Na 0.022 0.752 0.505
10 Na 0.978 0.248 0.495
11 Ir 0.000 0.000 0.000

---

14.
A plane-wave DFT calculation with GGA-PBE was carried out for Ba2NaIr2 after structural relaxation.

- N(E_F): 0.83 states/eV per atom
- Total energy: -21.120 eV for the cell shown
- Energy above the most stable polymorph in this dataset: 0.462 eV/atom
- Magnetization: 1.2 μB per formula unit
- Crystal system: tetragonal
- Space-group type: I4/mmm, No. 139

Cell lengths 6.060, 6.060, 6.172 Å; angles 60.60, 60.60, 90.00 degrees
Element x y z (fractional)
1 Na 0.000 0.000 0.000
2 Ir 0.362 0.362 0.277
3 Ir 0.638 0.638 0.723
4 Ba 0.750 0.250 0.500
5 Ba 0.250 0.750 0.500

---

15.
A plane-wave DFT calculation with GGA-PBE was carried out for Ba4NaIr after structural relaxation.

- N(E_F): 0.87 states/eV per atom
- Total energy: -73.086 eV for the cell shown
- Energy above the most stable polymorph in this dataset: 0.000 eV/atom
- Magnetization: 0.0 μB per formula unit
- Crystal system: monoclinic
- Space-group type: P2_1/c, No. 14

Cell lengths 11.517, 11.521, 10.031 Å; angles 90.00, 90.00, 116.50 degrees
Element x y z (fractional)
1 Ba 0.546 0.954 0.811
2 Ba 0.953 0.047 0.750
3 Ba 0.785 0.108 0.437
4 Ba 0.608 0.285 0.563
5 Ba 0.715 0.392 0.937
6 Ba 0.892 0.215 0.063
7 Ba 0.547 0.453 0.250
8 Ba 0.954 0.546 0.311
9 Ba 0.046 0.454 0.689
10 Ba 0.453 0.547 0.750
11 Ba 0.108 0.785 0.937
12 Ba 0.285 0.608 0.063
13 Ba 0.392 0.715 0.437
14 Ba 0.215 0.892 0.563
15 Ba 0.047 0.953 0.250
16 Ba 0.454 0.046 0.189
17 Na 0.297 0.204 0.932
18 Na 0.203 0.296 0.432
19 Na 0.797 0.704 0.568
20 Na 0.703 0.796 0.068
21 Ir 0.796 0.205 0.750
22 Ir 0.704 0.295 0.250
23 Ir 0.296 0.705 0.750
24 Ir 0.204 0.795 0.250

---

16.
A plane-wave DFT calculation with GGA-PBE was carried out for Ba6NaIr2 after structural relaxation.

- N(E_F): 0.78 states/eV per atom
- Total energy: -31.004 eV for the cell shown
- Energy above the most stable polymorph in this dataset: 0.024 eV/atom
- Magnetization: 0.0 μB per formula unit
- Crystal system: monoclinic
- Space-group type: C2/m, No. 12

Cell lengths 6.228, 8.234, 10.943 Å; angles 114.03, 90.00, 112.22 degrees
Element x y z (fractional)
1 Ba 0.987 0.974 0.817
2 Ba 0.694 0.387 0.069
3 Ba 0.306 0.613 0.931
4 Ba 0.678 0.356 0.619
5 Ba 0.322 0.644 0.381
6 Ba 0.013 0.026 0.183
7 Na 0.000 0.000 0.500
8 Ir 0.826 0.651 0.904
9 Ir 0.174 0.349 0.096

---

17.
A plane-wave DFT calculation with GGA-PBE was carried out for BaNaIr2 after structural relaxation.

- N(E_F): 1.06 states/eV per atom
- Total energy: -17.496 eV for the cell shown
- Energy above the most stable polymorph in this dataset: 0.195 eV/atom
- Magnetization: 0.0 μB per formula unit
- Crystal system: cubic
- Space-group type: Fm-3m, No. 225

Cell lengths 4.998, 4.998, 4.998 Å; angles 60.00, 60.00, 60.00 degrees
Element x y z (fractional)
1 Na 0.000 0.000 0.000
2 Ir 0.250 0.250 0.250
3 Ir 0.750 0.750 0.750
4 Ba 0.500 0.500 0.500

---

18.
A plane-wave DFT calculation with GGA-PBE was carried out for Ba2NaIr2 after structural relaxation.

- N(E_F): 0.73 states/eV per atom
- Total energy: -23.432 eV for the cell shown
- Energy above the most stable polymorph in this dataset: 0.000 eV/atom
- Magnetization: 0.0 μB per formula unit
- Crystal system: monoclinic
- Space-group type: P2/m, No. 10

Cell lengths 4.793, 4.568, 8.323 Å; angles 105.75, 90.00, 90.00 degrees
Element x y z (fractional)
1 Ba 0.500 0.646 0.291
2 Ba 0.500 0.354 0.709
3 Na 0.000 0.000 0.000
4 Ir 0.000 0.225 0.449
5 Ir 0.000 0.775 0.551

---

19.
A plane-wave DFT calculation with GGA-PBE was carried out for Ba8Na3Ir after structural relaxation.

- N(E_F): 1.00 states/eV per atom
- Total energy: -56.900 eV for the cell shown
- Magnetization: 0.0 μB per formula unit
- Crystal system: hexagonal
- Space-group type: P6_3mc, No. 186

Cell lengths 10.703, 12.004, 12.004 Å; angles 120.00, 90.00, 90.00 degrees
Element x y z (fractional)
1 Ba 0.991 0.090 0.545
2 Ba 0.991 0.455 0.910
3 Ba 0.991 0.455 0.545
4 Ba 0.491 0.910 0.455
5 Ba 0.491 0.545 0.090
6 Ba 0.491 0.545 0.455
7 Ba 0.801 0.418 0.209
8 Ba 0.801 0.791 0.582
9 Ba 0.801 0.791 0.209
10 Ba 0.301 0.582 0.791
11 Ba 0.301 0.209 0.418
12 Ba 0.301 0.209 0.791
13 Ba 0.644 0.333 0.667
14 Ba 0.144 0.667 0.333
15 Ba 0.981 0.000 0.000
16 Ba 0.481 0.000 0.000
17 Na 0.708 0.693 0.847
18 Na 0.708 0.153 0.307
19 Na 0.708 0.153 0.847
20 Na 0.208 0.307 0.153
21 Na 0.208 0.847 0.693
22 Na 0.208 0.847 0.153
23 Ir 0.146 0.333 0.667
24 Ir 0.646 0.667 0.333

---

20.
A plane-wave DFT calculation with GGA-PBE was carried out for Ba5Na2Ir after structural relaxation.

- N(E_F): 0.80 states/eV per atom
- Total energy: -87.057 eV for the cell shown
- Magnetization: 0.0 μB per formula unit
- Crystal system: orthorhombic
- Space-group type: Pnma, No. 62

Cell lengths 8.719, 11.174, 17.445 Å; angles 90.00, 90.00, 90.00 degrees
Element x y z (fractional)
1 Ba 0.750 0.717 0.110
2 Ba 0.250 0.283 0.890
3 Ba 0.250 0.783 0.610
4 Ba 0.750 0.217 0.390
5 Ba 0.503 0.646 0.893
6 Ba 0.497 0.354 0.107
7 Ba 0.497 0.854 0.393
8 Ba 0.003 0.354 0.107
9 Ba 0.503 0.146 0.607
10 Ba 0.997 0.646 0.893
11 Ba 0.997 0.146 0.607
12 Ba 0.003 0.854 0.393
13 Ba 0.500 0.000 0.000
14 Ba 0.500 0.500 0.500
15 Ba 0.000 0.000 0.000
16 Ba 0.000 0.500 0.500
17 Ba 0.750 0.944 0.793
18 Ba 0.250 0.056 0.207
19 Ba 0.250 0.556 0.293
20 Ba 0.750 0.444 0.707
21 Na 0.750 0.547 0.303
22 Na 0.250 0.453 0.697
23 Na 0.250 0.953 0.803
24 Na 0.750 0.047 0.197
25 Na 0.750 0.796 0.588
26 Na 0.250 0.204 0.412
27 Na 0.250 0.704 0.088
28 Na 0.750 0.296 0.912
29 Ir 0.750 0.816 0.945
30 Ir 0.250 0.184 0.055
31 Ir 0.250 0.684 0.445
32 Ir 0.750 0.316 0.555